The following is a GGA-PBE calculation of crystalline NpTl2Br6 at its relaxed geometry, from Alexandria via LeMat-Bulk.

Cell lengths 7.4164, 7.4164, 14.0472 Å; angles 90.00, 90.00, 90.00 degrees
Space group P4_2/mnm (No. 136)
One atom of each set of equivalent atoms:
Np: 0.0000 0.0000 0.0000
Tl: 0.0000 0.0000 0.3336
Br: 0.1830 0.1830 0.1439
Br: 0.2356 0.2356 0.5000

Calculated values
The volume is 42.92 A^3/atom. As for the spin magnetization: 0.333 μB/atom. The calculation puts the energy at -4.172 eV per atom. The energy above the lowest structure with this stoichiometry is 0.18 eV per formula unit. The value obtained for the formation energy without anion corrections is -1093 meV per atom.